First-principles (PBE) data for an optimized crystal structure of NaHg4H4, as listed in Alexandria.

The structure in CIF format:
```
data_NaHg4H4
_cell_length_a 6.970
_cell_length_b 6.970
_cell_length_c 6.366
_cell_angle_alpha 90.00
_cell_angle_beta 90.00
_cell_angle_gamma 90.00
_space_group_name_H-M_alt 'I 4/m'
_space_group_IT_number 87
_space_group_name_Hall '-I 4'
loop_
_atom_site_label
_atom_site_fract_x
_atom_site_fract_y
_atom_site_fract_z
_atom_site_occupancy
Na1 0.000 0.000 0.000 1
Hg1 0.200 0.781 0.500 1
H1 0.002 0.688 0.000 1
```

Properties
Calculated density (Mg/m³): 8.91
E (eV/atom): -1.48